1.
Ho5Bi5H2: relaxed, GGA-PBE.

Unit cell a=12.0211 b=4.2569 c=11.6640 alpha=90.00 beta=95.17 gamma=90.00
Space group C2/m (No. 12)
Inequivalent atoms, fractional coordinates:
Ho  0.0000  0.0000  0.0000
Ho  0.0880  0.0000  0.3243
Ho  0.1365  0.5000  0.8110
Bi  0.0000  0.5000  0.5000
Bi  0.1622  0.5000  0.1138
Bi  0.1972  0.0000  0.6119
H  0.0539  0.0000  0.8246

Properties
The value obtained for the total magnetization is 0.000 Bohr magnetons per cell. Its density is 10.456 g cm⁻³. The total DFT energy (no corrections) comes out at -4.67 eV/atom.

=====

2.
Cs2In2Au: relaxed, GGA-PBE.

Unit cell a=5.5732 b=5.5732 c=15.8873 alpha=90.00 beta=90.00 gamma=90.00
Space group I4/mmm (No. 139)
Inequivalent atoms, fractional coordinates:
Cs  0.0000  0.5000  0.2500
In  0.0000  0.0000  0.0864
Au  0.0000  0.0000  0.5000

Properties
The relative energy among the computed polymorphs comes out at 0.563 eV/atom. The value obtained for the total magnetization is 0.000 Bohr magnetons per cell. The energy of formation is 413.2 meV per atom. Its density is 4.660 g cm⁻³.

=====

3.
Ac4La5Y: relaxed, GGA-PBE.

Unit cell a=7.3812 b=9.0115 c=12.6703 alpha=90.00 beta=90.00 gamma=90.00
Space group Pmmn (No. 59, origin choice 2)
Inequivalent atoms, fractional coordinates:
Ac  0.0010  0.2500  0.0324
Ac  0.2500  0.5039  0.5009
La  0.0013  0.5701  0.2300
La  0.2500  0.7500  0.7179
Y  0.2500  0.2500  0.2840

Properties
The relative energy among the computed polymorphs comes out at 0.050 eV/atom. The value obtained for the total magnetization is 0.000 Bohr magnetons per cell. The energy of formation is 290.2 meV per atom. Its density is 6.665 g cm⁻³.

=====

4.
CaY2TlP: relaxed, GGA-PBE.

Unit cell a=5.3158 b=5.3158 c=5.3266 alpha=90.00 beta=90.00 gamma=90.00
Space group P4/mmm (No. 123)
Inequivalent atoms, fractional coordinates:
Ca  0.0000  0.0000  0.0000
Y  0.0000  0.5000  0.5000
Tl  0.5000  0.5000  0.0000
P  0.0000  0.0000  0.5000

Properties
The value obtained for the total magnetization is 0.000 Bohr magnetons per cell. The energy of formation is -663.2 meV per atom. Its density is 5.000 g cm⁻³.

=====

5.
Ca2PmAu4: relaxed, GGA-PBE.

Unit cell a=5.2562 b=5.2562 c=13.2193 alpha=90.00 beta=90.00 gamma=90.00
Space group I4/mmm (No. 139)
Inequivalent atoms, fractional coordinates:
Ca  0.0000  0.0000  0.2259
Pm  0.0000  0.0000  0.5000
Au  0.0000  0.5000  0.1183

Properties
The value obtained for the total magnetization is 0.000 Bohr magnetons per cell. The energy of formation is -645.1 meV per atom. Its density is 9.212 g cm⁻³.

=====

6.
Ba2Cd12SnAu3: relaxed, GGA-PBE.

Unit cell a=7.4469 b=7.4469 c=31.5290 alpha=90.00 beta=90.00 gamma=120.00
Space group R-3m (No. 166, hexagonal axes)
Inequivalent atoms, fractional coordinates:
Ba  0.0000  0.0000  0.1461
Cd  0.0218  0.5109  0.0947
Cd  0.0702  0.5351  0.6213
Sn  0.0000  0.0000  0.5000
Au  0.0000  0.5000  0.0000

Properties
The value obtained for the total magnetization is 0.000 Bohr magnetons per cell. The energy of formation is -100.3 meV per atom. Its density is 7.676 g cm⁻³.

=====

7.
Er2Re2N7: relaxed, GGA-PBE.

Unit cell a=7.1628 b=9.5969 c=5.2090 alpha=90.00 beta=102.97 gamma=90.00
Space group C2/m (No. 12)
Inequivalent atoms, fractional coordinates:
Er  0.0000  0.1917  0.0000
Re  0.2283  0.5000  0.3960
N  0.0000  0.5000  0.5000
N  0.0956  0.0000  0.2854
N  0.2382  0.3442  0.2054

Properties
The value obtained for the total magnetization is 2.051 Bohr magnetons per cell. Its density is 7.661 g cm⁻³. The total DFT energy (no corrections) comes out at -8.89 eV/atom.

=====

8.
TiRu2O: relaxed, GGA-PBE.

Unit cell a=5.3544 b=5.3544 c=8.8232 alpha=90.00 beta=90.00 gamma=90.00
Space group I-42d (No. 122)
Inequivalent atoms, fractional coordinates:
Ti  0.0000  0.0000  0.0000
Ru  0.1700  0.2500  0.6250
O  0.0000  0.0000  0.5000

Properties
The value obtained for the total magnetization is 0.000 Bohr magnetons per cell. Its density is 6.985 g cm⁻³. The total DFT energy (no corrections) comes out at -7.80 eV/atom.

=====

9.
U2NbRh9: relaxed, GGA-PBE.

Unit cell a=3.9836 b=3.9836 c=11.9317 alpha=90.00 beta=90.00 gamma=90.00
Space group P4/mmm (No. 123)
Inequivalent atoms, fractional coordinates:
U  0.0000  0.0000  0.1696
Nb  0.0000  0.0000  0.5000
Rh  0.0000  0.5000  0.0000
Rh  0.0000  0.5000  0.3385
Rh  0.5000  0.5000  0.1702
Rh  0.5000  0.5000  0.5000

Properties
The value obtained for the total magnetization is 0.000 Bohr magnetons per cell. The energy of formation is -606.9 meV per atom. Its density is 13.112 g cm⁻³.

=====

10.
CsHfSnBr2: relaxed, GGA-PBE.

Unit cell a=5.2488 b=5.2488 c=8.1212 alpha=90.00 beta=90.00 gamma=90.00
Space group P4/mmm (No. 123)
Inequivalent atoms, fractional coordinates:
Cs  0.0000  0.0000  0.0000
Hf  0.0000  0.0000  0.5000
Sn  0.5000  0.5000  0.0000
Br  0.0000  0.5000  0.5000

Properties
The value obtained for the total magnetization is 4.498 Bohr magnetons per cell. Its density is 4.378 g cm⁻³. The total DFT energy (no corrections) comes out at -3.53 eV/atom.

=====

11.
NdPb4: relaxed, GGA-PBE.

Unit cell a=4.8996 b=6.7625 c=18.6756 alpha=90.00 beta=90.00 gamma=90.00
Space group Imma (No. 74)
Inequivalent atoms, fractional coordinates:
Nd  0.0000  0.2500  0.0910
Pb  0.0000  0.0000  0.5000
Pb  0.0000  0.0012  0.6920
Pb  0.0000  0.2500  0.8985

Properties
The relative energy among the computed polymorphs comes out at 0.000 eV/atom. The value obtained for the total magnetization is 0.000 Bohr magnetons per cell. The energy of formation is -236.9 meV per atom. Its density is 10.445 g cm⁻³.

=====

12.
Nd5Ga2Ag: relaxed, GGA-PBE.

Unit cell a=7.7505 b=7.7505 c=15.3595 alpha=90.00 beta=90.00 gamma=90.00
Space group I4/mcm (No. 140)
Inequivalent atoms, fractional coordinates:
Nd  0.0000  0.0000  0.0000
Nd  0.1711  0.3289  0.1462
Ga  0.1183  0.3817  0.5000
Ag  0.0000  0.0000  0.2500

Properties
The relative energy among the computed polymorphs comes out at 0.000 eV/atom. The value obtained for the total magnetization is 0.000 Bohr magnetons per cell. The energy of formation is -344.1 meV per atom. Its density is 6.972 g cm⁻³.

=====

13.
Tm2NiHPt6: relaxed, GGA-PBE.

Unit cell a=5.5297 b=5.5297 c=18.5620 alpha=90.00 beta=90.00 gamma=120.00
Space group R-3m (No. 166, hexagonal axes)
Inequivalent atoms, fractional coordinates:
Tm  0.0000  0.0000  0.2091
Ni  0.0000  0.0000  0.5000
H  0.0000  0.0000  0.0000
Pt  0.0033  0.5016  0.2689

Properties
The value obtained for the total magnetization is 0.001 Bohr magnetons per cell. Its density is 15.892 g cm⁻³. The total DFT energy (no corrections) comes out at -6.16 eV/atom.

=====

14.
PaZn2IrO8: relaxed, GGA-PBE.

Unit cell a=4.7525 b=6.5480 c=4.7583 alpha=90.00 beta=91.56 gamma=90.00
Space group P2/m (No. 10)
Inequivalent atoms, fractional coordinates:
Pa  0.0000  0.0000  0.0000
Zn  0.5000  0.2566  0.5000
Ir  0.0000  0.5000  0.0000
O  0.1947  0.2780  0.8071
O  0.2822  0.5000  0.2838
O  0.3065  0.0000  0.3079

Properties
The value obtained for the total magnetization is 0.366 Bohr magnetons per cell. Its density is 7.652 g cm⁻³. The total DFT energy (no corrections) comes out at -6.67 eV/atom.

=====

15.
CoPW3: relaxed, GGA-PBE.

Unit cell a=4.4569 b=4.4569 c=4.4569 alpha=90.00 beta=90.00 gamma=90.00
Space group Pm-3m (No. 221)
Inequivalent atoms, fractional coordinates:
Co  0.0000  0.0000  0.0000
P  0.5000  0.5000  0.5000
W  0.0000  0.0000  0.5000

Properties
The relative energy among the computed polymorphs comes out at 0.390 eV/atom. The value obtained for the total magnetization is 0.000 Bohr magnetons per cell. The energy of formation is 1599.5 meV per atom. Its density is 12.031 g cm⁻³.

=====

16.
TbPd4Au5: relaxed, GGA-PBE.

Unit cell a=8.1816 b=9.6332 c=4.8653 alpha=90.00 beta=90.00 gamma=90.00
Space group Pmmn (No. 59, origin choice 2)
Inequivalent atoms, fractional coordinates:
Tb  0.2500  0.2500  0.1376
Pd  0.0072  0.7500  0.4357
Pd  0.2500  0.5422  0.2686
Au  0.0820  0.5046  0.7565
Au  0.2500  0.7500  0.8783

Properties
The relative energy among the computed polymorphs comes out at 0.112 eV/atom. The value obtained for the total magnetization is 0.000 Bohr magnetons per cell. The energy of formation is -247.3 meV per atom. Its density is 13.593 g cm⁻³.

=====

17.
KBe2Tc: relaxed, GGA-PBE.

Unit cell a=2.5261 b=5.9620 c=10.5188 alpha=90.00 beta=90.00 gamma=90.00
Space group Immm (No. 71)
Inequivalent atoms, fractional coordinates:
K  0.0000  0.0000  0.0000
Be  0.0000  0.5000  0.1896
Tc  0.0000  0.0000  0.5000

Properties
The relative energy among the computed polymorphs comes out at 0.776 eV/atom. The value obtained for the total magnetization is 1.052 Bohr magnetons per cell. The energy of formation is 1167.7 meV per atom. Its density is 3.252 g cm⁻³.

=====

18.
Sc2TaPb: relaxed, GGA-PBE.

Unit cell a=3.2479 b=3.2479 c=29.9010 alpha=90.00 beta=90.00 gamma=120.00
Space group R-3m (No. 166, hexagonal axes)
Inequivalent atoms, fractional coordinates:
Sc  0.0000  0.0000  0.2451
Ta  0.0000  0.0000  0.5000
Pb  0.0000  0.0000  0.0000

Properties
The value obtained for the total magnetization is 0.001 Bohr magnetons per cell. The energy of formation is 30.1 meV per atom. Its density is 8.718 g cm⁻³.

=====

19.
Ni7Ir: relaxed, GGA-PBE.

Unit cell a=7.1532 b=7.1532 c=7.1532 alpha=90.00 beta=90.00 gamma=90.00
Space group Fm-3m (No. 225)
Inequivalent atoms, fractional coordinates:
Ni  0.0000  0.0000  0.0000
Ni  0.0000  0.2500  0.2500
Ir  0.0000  0.0000  0.5000

Properties
The value obtained for the total magnetization is 16.210 Bohr magnetons per cell. The energy of formation is 21.2 meV per atom. Its density is 10.944 g cm⁻³.

=====

20.
MnGaRu3: relaxed, GGA-PBE.

Unit cell a=4.4231 b=4.4231 c=4.4231 alpha=90.00 beta=90.00 gamma=90.00
Space group Pm-3m (No. 221)
Inequivalent atoms, fractional coordinates:
Mn  0.0000  0.0000  0.0000
Ga  0.5000  0.5000  0.5000
Ru  0.0000  0.5000  0.5000

Properties
The value obtained for the total magnetization is 0.073 Bohr magnetons per cell. The energy of formation is 1702.1 meV per atom. Its density is 8.211 g cm⁻³.

=====

21.
Pu4Mn3Sb8: relaxed, GGA-PBE.

Unit cell a=6.2562 b=6.2567 c=18.6113 alpha=90.00 beta=90.01 gamma=90.00
Space group C2 (No. 5)
Inequivalent atoms, fractional coordinates:
Pu  0.2495  0.0000  0.1143
Pu  0.2504  0.0000  0.6201
Mn  0.0000  0.2501  0.5000
Mn  0.0000  0.7501  0.5000
Mn  0.0000  0.7505  0.0000
Sb  0.0009  0.2501  0.7535
Sb  0.0009  0.7502  0.7532
Sb  0.2494  0.5001  0.0719
Sb  0.2501  0.0002  0.4163

Properties
The value obtained for the total magnetization is 6.835 Bohr magnetons per cell. Its density is 9.641 g cm⁻³. The total DFT energy (no corrections) comes out at -8.23 eV/atom.

=====

22.
LiAgP: relaxed, GGA-PBE.

Unit cell a=5.9083 b=5.9083 c=5.9083 alpha=90.00 beta=90.00 gamma=90.00
Space group F-43m (No. 216)
Inequivalent atoms, fractional coordinates:
Li  0.0000  0.0000  0.0000
Ag  0.0000  0.0000  0.5000
P  0.2500  0.2500  0.2500

Properties
The relative energy among the computed polymorphs comes out at 0.057 eV/atom. The value obtained for the total magnetization is 0.000 Bohr magnetons per cell. The energy of formation is -204.2 meV per atom. Its density is 4.695 g cm⁻³.